# MgBeGe2, relaxed, DFT PBE-GGA
data_MgBeGe2
_chemical_formula_sum 'Mg4 Be4 Ge8'
_space_group_name_H-M_alt 'F m -3 m'
_space_group_IT_number 225
_space_group_name_Hall '-F 4 2 3'
_cell_length_a 6.451
_cell_length_b 6.451
_cell_length_c 6.451
_cell_angle_alpha 90.00
_cell_angle_beta 90.00
_cell_angle_gamma 90.00
loop_
_atom_site_label
_atom_site_type_symbol
_atom_site_fract_x
_atom_site_fract_y
_atom_site_fract_z
Mg1 Mg 0.000 0.000 0.000
Be1 Be 0.000 0.000 0.500
Ge1 Ge 0.250 0.250 0.250
# Energy relative to the elements, kJ/mol of formula units: 126
# Raw total energy, eV per cell: -53.0

***

# Mg2Be2GeO6, relaxed, DFT PBE-GGA
data_Mg2Be2GeO6
_chemical_formula_sum 'Mg2 Be2 Ge1 O6'
_space_group_name_H-M_alt 'P -3 1 m'
_space_group_IT_number 162
_space_group_name_Hall '-P 3 2'
_cell_length_a 4.7573
_cell_length_b 4.7573
_cell_length_c 4.8243
_cell_angle_alpha 90.00
_cell_angle_beta 90.00
_cell_angle_gamma 120.00
loop_
_atom_site_label
_atom_site_type_symbol
_atom_site_fract_x
_atom_site_fract_y
_atom_site_fract_z
Mg1 Mg 0.3333 0.6667 0.0000
Be1 Be 0.3333 0.6667 0.5000
Ge1 Ge 0.0000 0.0000 0.5000
O1 O 0.0000 0.3443 0.7128
# Raw total energy, eV per cell: -69.1
# Formation energy (no corrections), eV per atom: -2.1915